2
Lattice="-3.485 -3.176 -0.175 4.382 -1.235 -1.241 0.841 -1.149 4.112" Properties=species:S:1:pos:R:3 comment="KAg (PBE, optimized geometry)" polymorph_energy_kj_per_mol_fu=29 ef_ev_per_fu=0.3 sg="No. 187" pbc="T T T"
Ag 0.000 0.000 0.000
K -0.443 -3.104 1.526